No. 1
Below is a relaxed LiAgGeRh crystal, with properties calculated at the GGA-PBE level.

Cell: 4.333 4.333 4.333 Å, 60.00 60.00 60.00°
Element x y z (fractional)
Ag: 0.000 0.000 0.000
Ge: 0.750 0.750 0.750
Rh: 0.500 0.500 0.500
Li: 0.250 0.250 0.250

Energy of formation (eV per atom): -0.284
Fermi-level density of states (states/eV per atom): 0.7193

No. 2
Below is a relaxed RbAl3Sb crystal, with properties calculated at the GGA-PBE level.

Cell: 5.816 5.816 5.816 Å, 90.00 90.00 90.00°
Element x y z (fractional)
Al: 0.500 0.000 0.000
Al: 0.000 0.000 0.500
Sb: 0.500 0.500 0.500
Al: 0.000 0.500 0.000
Rb: 0.000 0.000 0.000

Fermi-level density of states (states/eV per atom): 0.8757
Uncorrected formation energy (eV per atom): 1.598

No. 3
Below is a relaxed TiBeC2 crystal, with properties calculated at the GGA-PBE level.

Cell: 3.593 3.593 6.165 Å, 73.06 73.06 90.00°
Element x y z (fractional)
C: 0.466 0.125 0.250
C: 0.375 0.534 0.750
Ti: 0.000 0.000 0.000
C: 0.284 0.625 0.250
Ti: 0.750 0.250 0.500
C: 0.875 0.716 0.750
Be: 0.250 0.750 0.500
Be: 0.500 0.500 0.000

Energy of formation (eV per atom): 0.491
Fermi-level density of states (states/eV per atom): 0.6130